RbHf2Cl8: optimized geometry, GGA-PBE.

abc: 8.3885 7.1894 7.1894
angles: 59.94 105.38 105.38
With the nearest neighbours (Å) after each atom.
Fractional coordinates of all 11 atoms:
Cl 0.6157 0.1525 0.6453  2 Hf 2.54-2.56
Cl 0.2434 0.8017 0.8017  1 Hf 2.40
Cl 0.6157 0.6453 0.1525  2 Hf 2.54-2.56
Cl 0.3843 0.3547 0.8475  2 Hf 2.54-2.56
Cl 0.7566 0.1983 0.1983  1 Hf 2.40
Cl 0.3843 0.8475 0.3547  2 Hf 2.54-2.56
Cl 0.2366 0.2842 0.2842  1 Hf 2.41
Cl 0.7634 0.7158 0.7158  1 Hf 2.41
Hf 0.4971 0.7511 0.7511  6 Cl 2.40-2.56
Hf 0.5029 0.2489 0.2489  6 Cl 2.40-2.56
Rb 0.0000 0.0000 0.0000  8 Cl 3.49-3.66

uncorrected formation energy: -1.7998 eV per atom
space group: C2/m, No. 12
total energy: -55.44 eV for the cell shown
ΔE to the lowest computed polymorph: 0 meV per atom
density: 3.37 g/cm3

Rb2Hf3Cl9: optimized geometry, GGA-PBE.

abc: 10.0358 10.3372 10.3372
angles: 117.03 102.85 102.85
With the nearest neighbours (Å) after each atom.
Fractional coordinates of all 28 atoms:
Cl 0.5000 0.8000 0.2000  2 Hf 2.56
Cl 0.1923 0.0863 0.8874  2 Hf 2.53-2.54
Cl 0.4832 0.8079 0.5966  2 Hf 2.54-2.55
Cl 0.7753 0.7196 0.7196  1 Hf 2.54
Cl 0.1755 0.5066 0.8913  1 Hf 2.60
Cl 0.1755 0.8913 0.5066  1 Hf 2.60
Cl 0.8245 0.1087 0.4934  1 Hf 2.60
Cl 0.8359 0.3140 0.3140  2 Hf 2.53
Cl 0.5168 0.1921 0.4034  2 Hf 2.54-2.55
Cl 0.5168 0.4034 0.1921  2 Hf 2.54-2.55
Cl 0.1923 0.8874 0.0863  2 Hf 2.53-2.54
Cl 0.8077 0.1126 0.9137  2 Hf 2.53-2.54
Cl 0.2247 0.2804 0.2804  1 Hf 2.54
Cl 0.1641 0.6860 0.6860  2 Hf 2.53
Cl 0.4832 0.5966 0.8079  2 Hf 2.54-2.55
Cl 0.8077 0.9137 0.1126  2 Hf 2.53-2.54
Cl 0.5000 0.2000 0.8000  2 Hf 2.56
Cl 0.8245 0.4934 0.1087  1 Hf 2.60
Rb 0.8138 0.4379 0.7657  5 Cl 3.24-3.52
Rb 0.8138 0.7657 0.4379  5 Cl 3.24-3.52
Rb 0.1862 0.5621 0.2344  5 Cl 3.24-3.52
Rb 0.1862 0.2344 0.5621  5 Cl 3.24-3.52
Hf 0.6491 0.0552 0.2323  5 Cl 2.53-2.60
Hf 0.3703 0.1369 0.1369  5 Cl 2.53-2.54
Hf 0.6491 0.2323 0.0552  5 Cl 2.53-2.60
Hf 0.6297 0.8631 0.8631  5 Cl 2.53-2.54
Hf 0.3509 0.9448 0.7677  5 Cl 2.53-2.60
Hf 0.3509 0.7677 0.9448  5 Cl 2.53-2.60

uncorrected formation energy: -1.7331 eV per atom
space group: C2/m, No. 12
total energy: -145.36 eV for the cell shown
density: 3.94 g/cm3

RbHfCl2: optimized geometry, GGA-PBE.

abc: 5.3825 5.3825 5.3825
angles: 60.00 60.00 60.00
With the nearest neighbours (Å) after each atom.
Fractional coordinates of all 4 atoms:
Cl 0.2500 0.2500 0.2500  4 Hf 3.30, 4 Rb 3.30
Cl 0.7500 0.7500 0.7500  4 Hf 3.30, 4 Rb 3.30
Rb 0.0000 0.0000 0.0000  8 Cl 3.30
Hf 0.5000 0.5000 0.5000  8 Cl 3.30

uncorrected formation energy: -0.2344 eV per atom
space group: Fm-3m, No. 225
total energy: -15.55 eV for the cell shown
ΔE to the lowest computed polymorph: 671 meV per atom
density: 5.04 g/cm3

RbHfCl2: optimized geometry, GGA-PBE.

abc: 5.9841 5.9841 8.8549
angles: 70.25 70.25 90.00
With the nearest neighbours (Å) after each atom.
Fractional coordinates of all 8 atoms:
Cl 0.8750 0.0192 0.7500  2 Hf 2.53
Cl 0.3750 0.2308 0.7500  2 Hf 2.53
Cl 0.9808 0.6250 0.2500  2 Hf 2.53
Cl 0.7692 0.1250 0.2500  2 Hf 2.53
Hf 0.7500 0.2500 0.5000  4 Cl 2.53
Hf 0.0000 0.0000 0.0000  4 Cl 2.53
Rb 0.2500 0.7500 0.5000  4 Cl 3.40
Rb 0.5000 0.5000 0.0000  4 Cl 3.40

uncorrected formation energy: -0.5927 eV per atom
space group: I-42d, No. 122
total energy: -33.97 eV for the cell shown
ΔE to the lowest computed polymorph: 313 meV per atom
density: 3.99 g/cm3

Rb2HfCl: optimized geometry, GGA-PBE.

abc: 12.9821 12.9821 9.5069
angles: 46.94 46.94 90.00
With the nearest neighbours (Å) after each atom.
Fractional coordinates of all 8 atoms:
Rb 0.3750 0.5326 0.7500  2 Cl 3.52, 2 Hf 3.93
Rb 0.2826 0.6250 0.2500  2 Cl 3.52, 2 Hf 3.93
Rb 0.4674 0.1250 0.2500  2 Cl 3.52, 2 Hf 3.93
Rb 0.8750 0.7174 0.7500  2 Cl 3.52, 2 Hf 3.93
Cl 0.5000 0.5000 0.0000  2 Hf 2.47
Cl 0.2500 0.7500 0.5000  2 Hf 2.47
Hf 0.7500 0.2500 0.5000  2 Cl 2.47
Hf 0.0000 0.0000 0.0000  2 Cl 2.47

uncorrected formation energy: 0.2331 eV per atom
space group: I-42d, No. 122
total energy: -25.61 eV for the cell shown
ΔE to the lowest computed polymorph: 0 meV per atom
density: 3.07 g/cm3

Rb2HfRuCl6: optimized geometry, GGA-PBE.

abc: 7.7608 7.7608 7.1267
angles: 57.01 57.01 90.00
With the nearest neighbours (Å) after each atom.
Fractional coordinates of all 10 atoms:
Cl 0.7697 0.7697 0.0000  1 Hf 2.53
Cl 0.2303 0.2303 0.0000  1 Hf 2.53
Cl 0.2547 0.2547 0.4905  1 Ru 2.23, 1 Hf 2.32
Cl 0.7453 0.7453 0.5095  1 Ru 2.23, 1 Hf 2.32
Cl 0.2303 0.7697 0.0000  1 Hf 2.53
Cl 0.7697 0.2303 0.0000  1 Hf 2.53
Hf 0.0000 0.0000 0.0000  6 Cl 2.32-2.53
Rb 0.7500 0.2500 0.5000  12 Cl 3.57-3.88
Rb 0.2500 0.7500 0.5000  12 Cl 3.57-3.88
Ru 0.5000 0.5000 0.0000  2 Cl 2.23

uncorrected formation energy: -1.2224 eV per atom
space group: I4/mmm, No. 139
total energy: -44.47 eV for the cell shown
density: 4.02 g/cm3